First-principles (PBE) data for a geometry-optimized Be2SiTe2 structure, as listed in the Alexandria database.

For the total moment, the calculation gives 0.00 μB per formula unit. For the formation energy without anion corrections, the calculation gives 0.646 eV per atom. As for the density of states at the Fermi level: 0.34 states/eV per atom. Its distance to the lowest polymorph of the same formula is 1.19 eV per formula unit. The value obtained for the electronic total energy is -3.19 eV per atom.

The structure belongs to space group P4/mbm (No. 127); the cell edges are 7.429, 7.429 and 3.572 Å and the angles 90.00°, 90.00° and 90.00°. Symmetry generates all atoms from Be at (0.111, 0.389, 0.000), Si at (0.000, 0.000, 0.500) and Te at (0.177, 0.677, 0.500).